Entry 1:
Density functional theory data (GGA-PBEsol) for crystalline NdEr3S6 at its relaxed geometry.

Cell lengths 10.848, 3.902, 11.148 Å; angles 90.00, 108.87, 90.00 degrees
Space group P2_1/m (No. 11)
Unique sites:
Nd 0.049 0.250 0.196 [2 per cell]
Er 0.160 0.250 0.586 [2 per cell]
Er 0.320 0.750 0.998 [2 per cell]
Er 0.441 0.250 0.333 [2 per cell]
S 0.084 0.750 0.406 [2 per cell]
S 0.119 0.250 0.964 [2 per cell]
S 0.197 0.750 0.749 [2 per cell]
S 0.264 0.750 0.228 [2 per cell]
S 0.394 0.250 0.558 [2 per cell]
S 0.481 0.250 0.113 [2 per cell]

Properties
- Energy: -6.759 eV/atom
- Mass density: 6.235 g/cm³
- Volume: 22.33 A^3/atom


Entry 2:
Density functional theory data (GGA-PBEsol) for crystalline NdErTl2 at its relaxed geometry.

Cell lengths 7.529, 7.529, 7.529 Å; angles 90.00, 90.00, 90.00 degrees
Space group Fm-3m (No. 225)
Unique sites:
Nd 0.000 0.000 0.000 [4 per cell]
Er 0.000 0.000 0.500 [4 per cell]
Tl 0.250 0.250 0.250 [8 per cell]

Properties
- Energy of formation: -0.419 eV per atom
- Mass density: 11.208 g/cm³
- Volume: 26.68 A^3/atom


Entry 3:
Density functional theory data (GGA-PBEsol) for crystalline Er2Ni7 at its relaxed geometry.

Cell lengths 4.8242, 4.8242, 23.6766 Å; angles 90.00, 90.00, 120.00 degrees
Space group P6_3/mmc (No. 194)
Unique sites:
Er 0.3333 0.6667 0.0292 [4 per cell]
Er 0.3333 0.6667 0.1741 [4 per cell]
Ni 0.0000 0.0000 0.0000 [2 per cell]
Ni 0.0000 0.0000 0.1673 [4 per cell]
Ni 0.1668 0.3336 0.7500 [6 per cell]
Ni 0.1673 0.3345 0.5850 [12 per cell]
Ni 0.3333 0.6667 0.6671 [4 per cell]

Properties
- Energy of formation: -0.419 eV per atom
- Mass density: 10.375 g/cm³
- Volume: 13.26 A^3/atom


Entry 4:
Density functional theory data (GGA-PBEsol) for crystalline ErNi5 at its relaxed geometry.

Cell lengths 4.7685, 4.7685, 3.8996 Å; angles 90.00, 90.00, 120.00 degrees
Space group P6/mmm (No. 191)
Unique sites:
Er 0.0000 0.0000 0.0000 [1 per cell]
Ni 0.0000 0.5000 0.5000 [3 per cell]
Ni 0.3333 0.6667 0.0000 [2 per cell]

Properties
- Energy of formation: -0.341 eV per atom
- Mass density: 9.963 g/cm³
- Volume: 12.80 A^3/atom


Entry 5:
Density functional theory data (GGA-PBEsol) for crystalline Er2Ni17 at its relaxed geometry.

Cell lengths 8.1338, 8.1338, 7.8714 Å; angles 90.00, 90.00, 120.00 degrees
Space group P6_3/mmc (No. 194)
Unique sites:
Er 0.0000 0.0000 0.2500 [2 per cell]
Er 0.3333 0.6667 0.2500 [2 per cell]
Ni 0.0000 0.5000 0.0000 [6 per cell]
Ni 0.0428 0.3703 0.7500 [12 per cell]
Ni 0.1654 0.3308 0.0220 [12 per cell]
Ni 0.3333 0.6667 0.6012 [4 per cell]

Properties
- Energy of formation: -0.207 eV per atom
- Mass density: 9.811 g/cm³
- Volume: 11.87 A^3/atom


Entry 6:
Density functional theory data (GGA-PBEsol) for crystalline ErNiO3 at its relaxed geometry.

Cell lengths 5.502, 7.230, 5.072 Å; angles 90.00, 90.00, 90.00 degrees
Space group Pnma (No. 62)
Unique sites:
Er 0.081 0.250 0.024 [4 per cell]
Ni 0.000 0.000 0.500 [4 per cell]
O 0.031 0.750 0.394 [4 per cell]
O 0.195 0.551 0.810 [8 per cell]

Properties
- Energy: -7.652 eV/atom
- Mass density: 9.019 g/cm³
- Volume: 10.09 A^3/atom


Entry 7:
Density functional theory data (GGA-PBEsol) for crystalline Er6Ni20P13 at its relaxed geometry.

Cell lengths 12.4639, 12.4639, 3.6816 Å; angles 90.00, 90.00, 120.00 degrees
Space group P-6 (No. 174)
Unique sites:
Er 0.0513 0.1956 0.0000 [3 per cell]
Er 0.5221 0.3851 0.5000 [3 per cell]
Ni 0.0000 0.0000 0.5000 [1 per cell]
Ni 0.0126 0.4239 0.0000 [3 per cell]
Ni 0.0857 0.7372 0.5000 [3 per cell]
Ni 0.1820 0.5943 0.5000 [3 per cell]
Ni 0.2280 0.4699 0.0000 [3 per cell]
Ni 0.3124 0.2290 0.0000 [3 per cell]
Ni 0.3547 0.1018 0.5000 [3 per cell]
Ni 0.6667 0.3333 0.0000 [1 per cell]
P 0.0502 0.6172 0.0000 [3 per cell]
P 0.1007 0.3863 0.5000 [3 per cell]
P 0.1954 0.1421 0.5000 [3 per cell]
P 0.3333 0.6667 0.0000 [1 per cell]
P 0.4716 0.1907 0.0000 [3 per cell]

Properties
- Energy of formation: -1.003 eV per atom
- Mass density: 8.650 g/cm³
- Volume: 12.70 A^3/atom


Entry 8:
Density functional theory data (GGA-PBEsol) for crystalline ErNi4P2 at its relaxed geometry.

Cell lengths 6.963, 6.963, 3.558 Å; angles 90.00, 90.00, 90.00 degrees
Space group P4_2/mnm (No. 136)
Unique sites:
Er 0.000 0.000 0.000 [2 per cell]
Ni 0.085 0.337 0.500 [8 per cell]
P 0.220 0.780 0.500 [4 per cell]

Properties
- Energy of formation: -0.913 eV per atom
- Mass density: 8.933 g/cm³
- Volume: 12.32 A^3/atom


Entry 9:
Density functional theory data (GGA-PBEsol) for crystalline ErNi2P2 at its relaxed geometry.

Cell lengths 3.806, 3.806, 9.238 Å; angles 90.00, 90.00, 90.00 degrees
Space group I4/mmm (No. 139)
Unique sites:
Er 0.000 0.000 0.000 [2 per cell]
Ni 0.000 0.500 0.250 [4 per cell]
P 0.000 0.000 0.378 [4 per cell]

Properties
- Energy of formation: -1.104 eV per atom
- Mass density: 8.601 g/cm³
- Volume: 13.38 A^3/atom


Entry 10:
Density functional theory data (GGA-PBEsol) for crystalline Er5Ni2Sb at its relaxed geometry.

Cell lengths 7.433, 7.433, 13.046 Å; angles 90.00, 90.00, 90.00 degrees
Space group I4/mcm (No. 140)
Unique sites:
Er 0.000 0.000 0.000 [4 per cell]
Er 0.157 0.343 0.137 [16 per cell]
Ni 0.130 0.370 0.500 [8 per cell]
Sb 0.000 0.000 0.250 [4 per cell]

Properties
- Energy: -5.753 eV/atom
- Mass density: 9.910 g/cm³
- Volume: 22.53 A^3/atom


Entry 11:
Density functional theory data (GGA-PBEsol) for crystalline ErNiSb at its relaxed geometry.

Cell lengths 6.218, 6.218, 6.218 Å; angles 90.00, 90.00, 90.00 degrees
Space group F-43m (No. 216)
Unique sites:
Er 0.000 0.000 0.000 [4 per cell]
Ni 0.250 0.250 0.250 [4 per cell]
Sb 0.000 0.000 0.500 [4 per cell]

Properties
- Energy: -6.165 eV/atom
- Mass density: 9.606 g/cm³
- Volume: 20.04 A^3/atom


Entry 12:
Density functional theory data (GGA-PBEsol) for crystalline ErSiNi3 at its relaxed geometry.

Cell lengths 3.716, 3.716, 10.005 Å; angles 90.00, 90.00, 90.00 degrees
Space group I4mm (No. 107)
Unique sites:
Er 0.000 0.000 0.000 [2 per cell]
Si 0.000 0.000 0.633 [2 per cell]
Ni 0.000 0.000 0.411 [2 per cell]
Ni 0.000 0.500 0.260 [4 per cell]

Properties
- Energy: -6.475 eV/atom
- Mass density: 8.929 g/cm³
- Volume: 13.81 A^3/atom